(1)
First-principles (PBE-GGA) data for a relaxed Si2Tc2Sb crystal, as listed in Alexandria via LeMat-Bulk.

## Properties
raw total energy	-70.73	eV/cell
calculated volume	157.1	Å³ per cell
total moment	0.0	Bohr magnetons per cell
symmetry	P4/mbm
uncorrected formation energy	0.3	eV/f.u.

The structure in POSCAR format:
```
Si2Tc2Sb
1.0
7.2322 0.0000 0.0000
0.0000 7.2322 0.0000
0.0000 0.0000 3.0044
Si Tc Sb
4 4 2
Cartesian
0.9221 2.6940 0.0000
2.6940 6.3101 0.0000
4.5382 0.9221 0.0000
6.3101 4.5382 0.0000
1.1446 4.7607 1.5022
2.4715 1.1446 1.5022
4.7607 6.0877 1.5022
6.0877 2.4715 1.5022
0.0000 0.0000 0.0000
3.6161 3.6161 0.0000
```

***

(2)
First-principles (PBE-GGA) data for a relaxed SiTc2Sb crystal, as listed in Alexandria via LeMat-Bulk.

## Properties
raw total energy	-27.32	eV/cell
calculated volume	71.8	Å³ per cell
total moment	0.0	Bohr magnetons per cell
symmetry	Immm
uncorrected formation energy	3.0	eV/f.u.

The structure in POSCAR format:
```
SiTc2Sb
1.0
-1.5240 2.2299 5.2809
1.5240 -2.2299 5.2809
1.5240 2.2299 -5.2809
Si Tc Sb
1 2 1
Cartesian
0.0000 0.0000 0.0000
0.0000 0.0000 2.3269
0.0000 0.0000 8.2349
0.0000 0.0000 5.2809
```

***

(3)
First-principles (PBE-GGA) data for a relaxed SiTcSb crystal, as listed in Alexandria via LeMat-Bulk.

## Properties
raw total energy	-18.83	eV/cell
calculated volume	55.4	Å³ per cell
total moment	0.0	Bohr magnetons per cell
symmetry	Fmm2
uncorrected formation energy	1.1	eV/f.u.

The structure in POSCAR format:
```
SiTcSb
1.0
0.0000 2.5186 6.6156
1.6628 0.0000 6.6156
1.6628 2.5186 0.0000
Si Tc Sb
1 1 1
Cartesian
0.0000 0.0000 0.0000
1.6628 2.5186 4.9069
1.6628 2.5186 9.2889
```